#w
## Np3Ag5O12 (PBE-GGA)

Data for a relaxed Np3Ag5O12 crystal.

a = 3.510 Å, b = 9.924 Å, c = 9.924 Å
α = 120.00°, β = 90.00°, γ = 90.00°
Fractional positions:
Np: 0.500 0.657 0.000
Np: 0.500 0.343 0.343
Np: 0.500 0.000 0.657
Ag: 0.000 0.333 0.667
Ag: 0.000 0.667 0.333
Ag: 0.000 0.284 0.000
Ag: 0.000 0.716 0.716
Ag: 0.000 0.000 0.284
O: 0.000 0.788 0.000
O: 0.000 0.212 0.212
O: 0.000 0.000 0.788
O: 0.000 0.528 0.000
O: 0.000 0.472 0.472
O: 0.000 0.000 0.528
O: 0.500 0.228 0.451
O: 0.500 0.222 0.772
O: 0.500 0.772 0.222
O: 0.500 0.549 0.778
O: 0.500 0.778 0.549
O: 0.500 0.451 0.228

The size of the total moment comes out at 2.00 μB per cell. The calculated density comes out at 8.0 Mg/m³.

#x
## Np3Ag5O12 (PBE-GGA)

Data for a relaxed Np3Ag5O12 crystal.

a = 11.321 Å, b = 11.321 Å, c = 11.321 Å
α = 109.47°, β = 109.47°, γ = 109.47°
Fractional positions:
Np: 0.750 0.375 0.125
Np: 0.875 0.750 0.125
Np: 0.375 0.750 0.625
Np: 0.250 0.125 0.375
Np: 0.875 0.125 0.250
Np: 0.375 0.625 0.250
Np: 0.625 0.375 0.750
Np: 0.125 0.875 0.750
Np: 0.750 0.875 0.625
Np: 0.625 0.250 0.375
Np: 0.125 0.250 0.875
Np: 0.250 0.625 0.875
Ag: 0.125 0.375 0.250
Ag: 0.000 0.500 0.000
Ag: 0.000 0.000 0.000
Ag: 0.375 0.250 0.125
Ag: 0.500 0.000 0.500
Ag: 0.500 0.500 0.000
Ag: 0.125 0.750 0.375
Ag: 0.750 0.125 0.875
Ag: 0.750 0.625 0.375
Ag: 0.375 0.125 0.750
Ag: 0.625 0.875 0.250
Ag: 0.500 0.500 0.500
Ag: 0.500 0.000 0.000
Ag: 0.000 0.000 0.500
Ag: 0.250 0.375 0.625
Ag: 0.250 0.875 0.125
Ag: 0.000 0.500 0.500
Ag: 0.875 0.250 0.625
Ag: 0.625 0.750 0.875
Ag: 0.875 0.625 0.750
O: 0.743 0.126 0.076
O: 0.333 0.576 0.450
O: 0.924 0.374 0.257
O: 0.576 0.243 0.126
O: 0.617 0.743 0.667
O: 0.924 0.550 0.167
O: 0.333 0.757 0.383
O: 0.050 0.883 0.126
O: 0.550 0.924 0.667
O: 0.743 0.617 0.167
O: 0.757 0.424 0.374
O: 0.833 0.950 0.076
O: 0.126 0.743 0.576
O: 0.374 0.450 0.117
O: 0.117 0.950 0.374
O: 0.383 0.126 0.550
O: 0.117 0.167 0.243
O: 0.424 0.667 0.050
O: 0.833 0.883 0.257
O: 0.126 0.383 0.050
O: 0.374 0.924 0.757
O: 0.550 0.626 0.383
O: 0.950 0.833 0.576
O: 0.757 0.333 0.883
O: 0.450 0.374 0.617
O: 0.050 0.167 0.424
O: 0.243 0.667 0.117
O: 0.167 0.117 0.743
O: 0.626 0.076 0.243
O: 0.874 0.617 0.950
O: 0.576 0.333 0.950
O: 0.617 0.874 0.450
O: 0.883 0.833 0.757
O: 0.883 0.050 0.626
O: 0.874 0.257 0.424
O: 0.167 0.050 0.924
O: 0.626 0.550 0.883
O: 0.450 0.076 0.333
O: 0.257 0.383 0.833
O: 0.243 0.576 0.626
O: 0.950 0.117 0.874
O: 0.667 0.243 0.617
O: 0.424 0.757 0.874
O: 0.076 0.450 0.833
O: 0.383 0.257 0.333
O: 0.076 0.626 0.743
O: 0.667 0.424 0.550
O: 0.257 0.874 0.924

The size of the total moment comes out at 7.88 μB per cell. The calculated density comes out at 8.6 Mg/m³.

Most stable of them? #w.

#w
## NpAgPd (PBE-GGA)

Data for a relaxed NpAgPd crystal.

a = 7.770 Å, b = 2.874 Å, c = 30.042 Å
α = 139.56°, β = 158.90°, γ = 56.56°
Fractional positions:
Np: 0.888 0.408 0.811
Np: 0.112 0.592 0.189
Pd: 0.186 0.684 0.465
Pd: 0.814 0.316 0.535
Ag: 0.422 0.321 0.838
Ag: 0.578 0.679 0.162

The size of the total moment comes out at 6.64 μB per cell. The calculated density comes out at 13.1 Mg/m³.

#x
## NpAgPd (PBE-GGA)

Data for a relaxed NpAgPd crystal.

a = 2.919 Å, b = 4.871 Å, c = 4.871 Å
α = 120.00°, β = 90.00°, γ = 90.00°
Fractional positions:
Np: 0.666 0.333 0.667
Pd: 0.168 0.667 0.333
Ag: 0.166 0.000 0.000

The size of the total moment comes out at 4.56 μB per cell. The calculated density comes out at 12.5 Mg/m³.

Most stable of them? #x.

#w
## Pu2NpAg (PBE-GGA)

Data for a relaxed Pu2NpAg crystal.

a = 2.996 Å, b = 2.996 Å, c = 9.764 Å
α = 90.00°, β = 90.00°, γ = 90.00°
Fractional positions:
Np: 0.500 0.500 0.000
Ag: 0.500 0.500 0.500
Pu: 0.000 0.000 0.754
Pu: 0.000 0.000 0.246

The size of the total moment comes out at 7.26 μB per cell. The calculated density comes out at 15.8 Mg/m³.

#x
## Pu2NpAg (PBE-GGA)

Data for a relaxed Pu2NpAg crystal.

a = 3.660 Å, b = 3.660 Å, c = 8.849 Å
α = 78.06°, β = 78.06°, γ = 60.00°
Fractional positions:
Np: 0.500 0.500 0.500
Ag: 0.000 0.000 0.000
Pu: 0.116 0.116 0.653
Pu: 0.884 0.884 0.347

The size of the total moment comes out at 6.01 μB per cell. The calculated density comes out at 13.9 Mg/m³.

Most stable of them? #w.

#w
## NpAgRu2 (PBE-GGA)

Data for a relaxed NpAgRu2 crystal.

a = 4.594 Å, b = 4.594 Å, c = 4.594 Å
α = 60.00°, β = 60.00°, γ = 60.00°
Fractional positions:
Np: 0.000 0.000 0.000
Ru: 0.250 0.250 0.250
Ru: 0.750 0.750 0.750
Ag: 0.500 0.500 0.500

The size of the total moment comes out at 2.20 μB per cell. The calculated density comes out at 13.2 Mg/m³.

#x
## NpAgRu2 (PBE-GGA)

Data for a relaxed NpAgRu2 crystal.

a = 3.684 Å, b = 4.292 Å, c = 4.292 Å
α = 90.00°, β = 90.00°, γ = 90.00°
Fractional positions:
Np: 0.500 0.500 0.500
Ru: 0.000 0.000 0.500
Ru: 0.000 0.500 0.000
Ag: 0.500 0.000 0.000

The size of the total moment comes out at 0.83 μB per cell. The calculated density comes out at 13.4 Mg/m³.

Most stable of them? #x.

#w
## NpAg2S4 (PBE-GGA)

Data for a relaxed NpAg2S4 crystal.

a = 7.163 Å, b = 7.163 Å, c = 7.163 Å
α = 105.91°, β = 105.91°, γ = 116.87°
Fractional positions:
Np: 0.750 0.250 0.500
Np: 0.000 0.000 0.000
Ag: 0.875 0.440 0.065
Ag: 0.190 0.125 0.565
Ag: 0.375 0.810 0.935
Ag: 0.560 0.625 0.435
S: 0.230 0.894 0.267
S: 0.037 0.770 0.664
S: 0.627 0.963 0.733
S: 0.106 0.373 0.336
S: 0.520 0.287 0.164
S: 0.713 0.877 0.233
S: 0.123 0.356 0.836
S: 0.644 0.480 0.767

The size of the total moment comes out at 3.96 μB per cell. The calculated density comes out at 6.9 Mg/m³.

#x
## NpAg2S4 (PBE-GGA)

Data for a relaxed NpAg2S4 crystal.

a = 8.295 Å, b = 7.382 Å, c = 7.382 Å
α = 67.03°, β = 55.82°, γ = 55.82°
Fractional positions:
Np: 0.000 0.500 0.000
Np: 0.500 0.500 0.000
Ag: 0.057 0.193 0.693
Ag: 0.500 0.000 0.000
Ag: 0.500 0.500 0.500
Ag: 0.943 0.807 0.307
S: 0.217 0.325 0.241
S: 0.217 0.741 0.825
S: 0.320 0.223 0.723
S: 0.734 0.223 0.723
S: 0.266 0.777 0.277
S: 0.783 0.259 0.175
S: 0.680 0.777 0.277
S: 0.783 0.675 0.759

The size of the total moment comes out at 3.54 μB per cell. The calculated density comes out at 6.3 Mg/m³.

Most stable of them? #x.

#w
## NpAg2S3 (PBE-GGA)

Data for a relaxed NpAg2S3 crystal.

a = 5.522 Å, b = 7.740 Å, c = 7.740 Å
α = 110.93°, β = 90.00°, γ = 90.00°
Fractional positions:
Np: 0.250 0.118 0.882
Np: 0.750 0.882 0.118
Ag: 0.000 0.323 0.323
Ag: 0.500 0.323 0.323
Ag: 0.000 0.677 0.677
Ag: 0.500 0.677 0.677
S: 0.750 0.087 0.913
S: 0.750 0.141 0.450
S: 0.250 0.450 0.141
S: 0.750 0.550 0.859
S: 0.250 0.859 0.550
S: 0.250 0.913 0.087

The size of the total moment comes out at 6.00 μB per cell. The calculated density comes out at 5.9 Mg/m³.

#x
## NpAg2S3 (PBE-GGA)

Data for a relaxed NpAg2S3 crystal.

a = 4.057 Å, b = 5.388 Å, c = 11.350 Å
α = 90.00°, β = 90.00°, γ = 90.00°
Fractional positions:
Np: 0.500 0.749 0.500
Np: 0.000 0.251 0.000
Ag: 0.500 0.751 0.841
Ag: 0.000 0.249 0.659
Ag: 0.500 0.751 0.159
Ag: 0.000 0.249 0.341
S: 0.500 0.249 0.500
S: 0.000 0.751 0.000
S: 0.000 0.749 0.341
S: 0.500 0.251 0.159
S: 0.000 0.749 0.659
S: 0.500 0.251 0.841

The size of the total moment comes out at 6.00 μB per cell. The calculated density comes out at 7.3 Mg/m³.

Most stable of them? #x.